Entry 1:
PmPrTeSe | PBE-GGA | relaxed

Properties
**DOS at the Fermi energy**: 1.5 states/eV/f.u.
**Total DFT energy (no corrections)**: -22.74 eV/cell
**Space group**: R3m (160)

a b c (Å): 4.3546 4.3546 7.6185
angles (deg): 73.39 73.39 60.00
Last column: nearest neighbours and their distance in Å.
Positions (direct):
Pm: 0.9890 0.9890 0.0330  3 Se 2.94, 3 Te 3.21
Pr: 0.5108 0.5108 0.4676  3 Se 2.98, 3 Te 3.26
Te: 0.7483 0.7483 0.7551  3 Pm 3.21, 3 Pr 3.26
Se: 0.2519 0.2519 0.2443  3 Pm 2.94, 3 Pr 2.98

Entry 2:
Pm3Pr4ThSe8 | PBE-GGA | relaxed

Properties
**DOS at the Fermi energy**: 11.3 states/eV/f.u.
**Total DFT energy (no corrections)**: -97.41 eV/cell
**Space group**: R-3m (166)

a b c (Å): 8.4628 8.4689 8.4619
angles (deg): 119.97 120.00 90.00
Last column: nearest neighbours and their distance in Å.
Positions (direct):
Pm: 0.5000 0.5000 0.0000  6 Se 2.97
Pm: 0.5000 0.5000 0.5000  6 Se 2.97
Pm: 0.0000 0.5000 0.5000  6 Se 2.97
Pr: 0.5000 0.0000 0.0000  6 Se 3.02
Pr: 0.5000 0.0000 0.5000  6 Se 3.02
Pr: 0.0000 0.0000 0.0000  6 Se 3.02
Pr: 0.0000 0.0000 0.5000  6 Se 3.02
Th: 0.0000 0.5000 0.0000  6 Se 2.97
Se: 0.2480 0.7439 0.9959  2 Pm 2.97, 1 Th 2.97, 3 Pr 3.02
Se: 0.2480 0.7439 0.4960  2 Pm 2.97, 1 Th 2.97, 3 Pr 3.02
Se: 0.2521 0.2562 0.5042  3 Pm 2.97, 3 Pr 3.02
Se: 0.7478 0.7439 0.9959  2 Pm 2.97, 1 Th 2.97, 3 Pr 3.02
Se: 0.2522 0.2561 0.0041  2 Pm 2.97, 1 Th 2.97, 3 Pr 3.02
Se: 0.7479 0.7438 0.4958  3 Pm 2.97, 3 Pr 3.02
Se: 0.7520 0.2561 0.5040  2 Pm 2.97, 1 Th 2.97, 3 Pr 3.02
Se: 0.7520 0.2561 0.0041  2 Pm 2.97, 1 Th 2.97, 3 Pr 3.02

Entry 3:
Pm2PrThSe4 | PBE-GGA | relaxed

Properties
**DOS at the Fermi energy**: 4.2 states/eV/f.u.
**Total DFT energy (no corrections)**: -49.69 eV/cell
**Space group**: P2/m (10)

a b c (Å): 4.1922 7.3193 7.3054
angles (deg): 70.72 90.00 90.00
Last column: nearest neighbours and their distance in Å.
Positions (direct):
Pm: 0.0000 0.0000 0.0000  6 Se 2.97-2.98
Pm: 0.5000 0.0000 0.5000  6 Se 2.95-2.96
Pr: 0.5000 0.5000 0.0000  6 Se 3.00
Th: 0.0000 0.5000 0.5000  6 Se 2.99
Se: 0.0000 0.7544 0.7465  3 Pm 2.95-2.98, 1 Th 2.99, 2 Pr 3.00
Se: 0.0000 0.2456 0.2535  3 Pm 2.95-2.98, 1 Th 2.99, 2 Pr 3.00
Se: 0.5000 0.7535 0.2504  3 Pm 2.96-2.97, 2 Th 2.99, 1 Pr 3.00
Se: 0.5000 0.2465 0.7496  3 Pm 2.96-2.97, 2 Th 2.99, 1 Pr 3.00

Entry 4:
Pm4PrTh3Se8 | PBE-GGA | relaxed

Properties
**DOS at the Fermi energy**: 8.2 states/eV/f.u.
**Total DFT energy (no corrections)**: -101.43 eV/cell
**Space group**: R-3m (166)

a b c (Å): 8.3481 8.4727 8.3482
angles (deg): 119.51 120.00 90.00
Last column: nearest neighbours and their distance in Å.
Positions (direct):
Pm: 0.5000 0.0000 0.0000  6 Se 2.95
Pm: 0.5000 0.0000 0.5000  6 Se 2.96
Pm: 0.0000 0.0000 0.0000  6 Se 2.96
Pm: 0.0000 0.0000 0.5000  6 Se 2.96
Pr: 0.0000 0.5000 0.0000  6 Se 3.00
Th: 0.5000 0.5000 0.0000  6 Se 2.99
Th: 0.5000 0.5000 0.5000  6 Se 2.99
Th: 0.0000 0.5000 0.5000  6 Se 2.99
Se: 0.2520 0.7539 0.0019  3 Pm 2.95-2.96, 2 Th 2.99, 1 Pr 3.00
Se: 0.2520 0.7539 0.5041  3 Pm 2.95-2.96, 2 Th 2.99, 1 Pr 3.00
Se: 0.2487 0.2459 0.4973  3 Pm 2.96, 3 Th 2.99
Se: 0.7499 0.7539 0.0019  3 Pm 2.95-2.96, 2 Th 2.99, 1 Pr 3.00
Se: 0.2501 0.2461 0.9981  3 Pm 2.95-2.96, 2 Th 2.99, 1 Pr 3.00
Se: 0.7513 0.7541 0.5027  3 Pm 2.96, 3 Th 2.99
Se: 0.7480 0.2461 0.4959  3 Pm 2.95-2.96, 2 Th 2.99, 1 Pr 3.00
Se: 0.7480 0.2461 0.9981  3 Pm 2.95-2.96, 2 Th 2.99, 1 Pr 3.00

Entry 5:
Pm2PrTh3Se6 | PBE-GGA | relaxed

Properties
**DOS at the Fermi energy**: 8.0 states/eV/f.u.
**Total DFT energy (no corrections)**: -77.54 eV/cell
**Space group**: C2/m (12)

a b c (Å): 7.2021 7.2021 7.3681
angles (deg): 99.29 99.29 119.08
Last column: nearest neighbours and their distance in Å.
Positions (direct):
Pm: 0.3327 0.6673 0.0000  6 Se 2.95-2.96
Pm: 0.6673 0.3327 0.0000  6 Se 2.95-2.96
Pr: 0.0000 0.0000 0.0000  6 Se 2.98-3.00
Th: 0.1637 0.8363 0.5000  6 Se 2.98-2.99
Th: 0.8363 0.1637 0.5000  6 Se 2.98-2.99
Th: 0.5000 0.5000 0.5000  6 Se 2.97-2.99
Se: 0.9168 0.5796 0.7507  2 Pm 2.96, 3 Th 2.98-2.99, 1 Pr 3.00
Se: 0.7441 0.7441 0.2451  2 Pm 2.95, 3 Th 2.97-2.99, 1 Pr 2.98
Se: 0.0832 0.4204 0.2493  2 Pm 2.96, 3 Th 2.98-2.99, 1 Pr 3.00
Se: 0.5796 0.9168 0.7507  2 Pm 2.96, 3 Th 2.98-2.99, 1 Pr 3.00
Se: 0.2559 0.2559 0.7549  2 Pm 2.95, 3 Th 2.97-2.99, 1 Pr 2.98
Se: 0.4204 0.0832 0.2493  2 Pm 2.96, 3 Th 2.98-2.99, 1 Pr 3.00

Entry 6:
PmPr3Th3Se8 | PBE-GGA | relaxed

Properties
**DOS at the Fermi energy**: 11.4 states/eV/f.u.
**Total DFT energy (no corrections)**: -95.47 eV/cell
**Space group**: R-3m (166)

a b c (Å): 8.4105 8.4110 8.4444
angles (deg): 119.87 90.00 120.00
Last column: nearest neighbours and their distance in Å.
Positions (direct):
Pm: 0.0000 0.0000 0.5000  6 Se 3.03
Pr: 0.0000 0.0000 0.0000  6 Se 2.99-3.00
Pr: 0.0000 0.5000 0.0000  6 Se 2.99-3.00
Pr: 0.5000 0.5000 0.0000  6 Se 2.99-3.00
Th: 0.5000 0.0000 0.5000  6 Se 2.96-2.97
Th: 0.5000 0.5000 0.5000  6 Se 2.96-2.97
Th: 0.0000 0.5000 0.5000  6 Se 2.96-2.97
Se: 0.2508 0.5017 0.2525  3 Th 2.97, 3 Pr 2.99
Se: 0.7492 0.4983 0.7475  3 Th 2.97, 3 Pr 2.99
Se: 0.7461 0.4923 0.2497  2 Th 2.96, 2 Pr 3.00, 1 Pm 3.03
Se: 0.2539 0.5077 0.7503  2 Th 2.96, 2 Pr 3.00, 1 Pm 3.03
Se: 0.7462 0.0036 0.2498  2 Th 2.96, 2 Pr 3.00, 1 Pm 3.03
Se: 0.2538 0.9964 0.7502  2 Th 2.96, 2 Pr 3.00, 1 Pm 3.03
Se: 0.2574 0.0036 0.2498  2 Th 2.96, 2 Pr 3.00, 1 Pm 3.03
Se: 0.7426 0.9964 0.7502  2 Th 2.96, 2 Pr 3.00, 1 Pm 3.03

Entry 7:
Pm2Pr3ThSe6 | PBE-GGA | relaxed

Properties
**DOS at the Fermi energy**: 6.8 states/eV/f.u.
**Total DFT energy (no corrections)**: -73.57 eV/cell
**Space group**: C2/m (12)

a b c (Å): 4.2284 8.4826 9.4470
angles (deg): 102.77 102.93 90.00
Last column: nearest neighbours and their distance in Å.
Positions (direct):
Pm: 0.8342 0.6688 0.6684  6 Se 2.95-2.98
Pm: 0.1658 0.3312 0.3316  6 Se 2.95-2.98
Pr: 0.5000 0.5000 0.0000  6 Se 3.01-3.03
Pr: 0.8340 0.1658 0.6681  6 Se 3.00-3.03
Pr: 0.1660 0.8342 0.3319  6 Se 3.00-3.03
Th: 0.5000 0.0000 0.0000  6 Se 2.98
Se: 0.3337 0.9129 0.6673  2 Pm 2.96, 1 Th 2.98, 3 Pr 3.01
Se: 0.6688 0.5799 0.3376  3 Pm 2.97-2.98, 3 Pr 3.03
Se: 0.6663 0.0871 0.3327  2 Pm 2.96, 1 Th 2.98, 3 Pr 3.01
Se: 0.0012 0.2489 0.0025  1 Pm 2.95, 2 Th 2.98, 3 Pr 3.00-3.01
Se: 0.9988 0.7511 0.9975  1 Pm 2.95, 2 Th 2.98, 3 Pr 3.00-3.01
Se: 0.3312 0.4201 0.6624  3 Pm 2.97-2.98, 3 Pr 3.03

Entry 8:
PmPr2ThSe4 | PBE-GGA | relaxed

Properties
**DOS at the Fermi energy**: 4.2 states/eV/f.u.
**Total DFT energy (no corrections)**: -49.75 eV/cell
**Space group**: P2/m (10)

a b c (Å): 4.2171 7.3387 7.3396
angles (deg): 109.35 90.00 90.00
Last column: nearest neighbours and their distance in Å.
Positions (direct):
Pm: 0.0000 0.0000 0.0000  6 Se 2.97
Pr: 0.5000 0.0000 0.5000  6 Se 3.01
Pr: 0.0000 0.5000 0.5000  6 Se 3.02
Th: 0.5000 0.5000 0.0000  6 Se 2.98
Se: 0.5000 0.2476 0.2444  2 Pm 2.97, 1 Th 2.98, 3 Pr 3.01-3.02
Se: 0.5000 0.7524 0.7556  2 Pm 2.97, 1 Th 2.98, 3 Pr 3.01-3.02
Se: 0.0000 0.2504 0.7544  1 Pm 2.97, 2 Th 2.98, 3 Pr 3.01-3.02
Se: 0.0000 0.7496 0.2456  1 Pm 2.97, 2 Th 2.98, 3 Pr 3.01-3.02

Entry 9:
PmPr3Th2Se6 | PBE-GGA | relaxed

Properties
**DOS at the Fermi energy**: 7.1 states/eV/f.u.
**Total DFT energy (no corrections)**: -75.61 eV/cell
**Space group**: C2/m (12)

a b c (Å): 7.3132 7.3132 7.3513
angles (deg): 99.57 99.57 119.86
Last column: nearest neighbours and their distance in Å.
Positions (direct):
Pm: 0.0000 0.0000 0.0000  6 Se 2.97-2.98
Pr: 0.1646 0.8354 0.5000  6 Se 3.00-3.02
Pr: 0.8354 0.1646 0.5000  6 Se 3.00-3.02
Pr: 0.5000 0.5000 0.5000  6 Se 3.00-3.02
Th: 0.3329 0.6671 0.0000  6 Se 2.97-2.98
Th: 0.6671 0.3329 0.0000  6 Se 2.97-2.98
Se: 0.9177 0.5845 0.7533  2 Th 2.97-2.98, 1 Pm 2.98, 3 Pr 3.00-3.02
Se: 0.7482 0.7482 0.2441  1 Pm 2.97, 2 Th 2.97, 3 Pr 3.00-3.02
Se: 0.0823 0.4155 0.2467  2 Th 2.97-2.98, 1 Pm 2.98, 3 Pr 3.00-3.02
Se: 0.5845 0.9177 0.7533  2 Th 2.97-2.98, 1 Pm 2.98, 3 Pr 3.00-3.02
Se: 0.2518 0.2518 0.7559  1 Pm 2.97, 2 Th 2.97, 3 Pr 3.00-3.02
Se: 0.4155 0.0823 0.2467  2 Th 2.97-2.98, 1 Pm 2.98, 3 Pr 3.00-3.02

Entry 10:
PmPr3Th4Se8 | PBE-GGA | relaxed

Properties
**DOS at the Fermi energy**: 5.8 states/eV/f.u.
**Total DFT energy (no corrections)**: -103.62 eV/cell
**Space group**: R-3m (166)

a b c (Å): 8.3787 8.5124 8.3758
angles (deg): 119.45 120.01 90.00
Last column: nearest neighbours and their distance in Å.
Positions (direct):
Pm: 0.0000 0.5000 0.0000  6 Se 2.97
Pr: 0.5000 0.5000 0.0000  6 Se 2.99
Pr: 0.5000 0.5000 0.5000  6 Se 2.99
Pr: 0.0000 0.5000 0.5000  6 Se 2.99
Th: 0.5000 0.0000 0.0000  6 Se 3.00
Th: 0.5000 0.0000 0.5000  6 Se 2.98
Th: 0.0000 0.0000 0.0000  6 Se 2.98
Th: 0.0000 0.0000 0.5000  6 Se 2.98
Se: 0.2486 0.7497 0.0010  1 Pm 2.97, 3 Th 2.98-3.00, 2 Pr 2.99
Se: 0.2488 0.7498 0.4975  1 Pm 2.97, 3 Th 2.98-3.00, 2 Pr 2.99
Se: 0.2495 0.2484 0.4990  3 Th 2.98, 3 Pr 2.99
Se: 0.7524 0.7497 0.0010  1 Pm 2.97, 3 Th 2.98-3.00, 2 Pr 2.99
Se: 0.2476 0.2503 0.9990  1 Pm 2.97, 3 Th 2.98-3.00, 2 Pr 2.99
Se: 0.7505 0.7516 0.5010  3 Th 2.98, 3 Pr 2.99
Se: 0.7512 0.2502 0.5025  1 Pm 2.97, 3 Th 2.98-3.00, 2 Pr 2.99
Se: 0.7514 0.2503 0.9990  1 Pm 2.97, 3 Th 2.98-3.00, 2 Pr 2.99

Entry 11:
PmPr4Th3Se8 | PBE-GGA | relaxed

Properties
**DOS at the Fermi energy**: 8.6 states/eV/f.u.
**Total DFT energy (no corrections)**: -101.59 eV/cell
**Space group**: R-3m (166)

a b c (Å): 8.4288 8.4971 8.4283
angles (deg): 119.73 120.00 90.00
Last column: nearest neighbours and their distance in Å.
Positions (direct):
Pm: 0.0000 0.5000 0.0000  6 Se 2.97
Pr: 0.5000 0.0000 0.0000  6 Se 3.01-3.02
Pr: 0.5000 0.0000 0.5000  6 Se 3.00-3.01
Pr: 0.0000 0.0000 0.0000  6 Se 3.00-3.01
Pr: 0.0000 0.0000 0.5000  6 Se 3.00-3.01
Th: 0.5000 0.5000 0.0000  6 Se 2.98
Th: 0.5000 0.5000 0.5000  6 Se 2.98
Th: 0.0000 0.5000 0.5000  6 Se 2.98
Se: 0.2481 0.7460 0.9979  1 Pm 2.97, 2 Th 2.98, 3 Pr 3.01
Se: 0.2481 0.7459 0.4961  1 Pm 2.97, 2 Th 2.98, 3 Pr 3.01-3.02
Se: 0.2506 0.2519 0.5012  3 Th 2.98, 3 Pr 3.00
Se: 0.7497 0.7460 0.9979  1 Pm 2.97, 2 Th 2.98, 3 Pr 3.01
Se: 0.2503 0.2540 0.0021  1 Pm 2.97, 2 Th 2.98, 3 Pr 3.01
Se: 0.7494 0.7481 0.4988  3 Th 2.98, 3 Pr 3.00
Se: 0.7519 0.2541 0.5039  1 Pm 2.97, 2 Th 2.98, 3 Pr 3.01-3.02
Se: 0.7519 0.2540 0.0021  1 Pm 2.97, 2 Th 2.98, 3 Pr 3.01

Entry 12:
Pm3Pr2ThSe6 | PBE-GGA | relaxed

Properties
**DOS at the Fermi energy**: 6.7 states/eV/f.u.
**Total DFT energy (no corrections)**: -73.51 eV/cell
**Space group**: C2/m (12)

a b c (Å): 4.2128 8.4639 9.4302
angles (deg): 103.04 102.91 90.00
Last column: nearest neighbours and their distance in Å.
Positions (direct):
Pm: 0.5000 0.5000 0.0000  6 Se 2.97
Pm: 0.8326 0.1651 0.6653  6 Se 2.95-2.97
Pm: 0.1674 0.8349 0.3347  6 Se 2.95-2.97
Pr: 0.8347 0.6692 0.6693  6 Se 3.00-3.02
Pr: 0.1653 0.3308 0.3307  6 Se 3.00-3.02
Th: 0.5000 0.0000 0.0000  6 Se 2.99-3.00
Se: 0.3330 0.9207 0.6659  3 Pm 2.95-2.96, 1 Th 2.99, 2 Pr 3.00
Se: 0.6663 0.5866 0.3326  3 Pm 2.97, 3 Pr 3.01-3.02
Se: 0.6670 0.0793 0.3341  3 Pm 2.95-2.96, 1 Th 2.99, 2 Pr 3.00
Se: 0.9977 0.2509 0.9955  3 Pm 2.95-2.97, 1 Pr 3.00, 2 Th 3.00
Se: 0.0023 0.7491 0.0045  3 Pm 2.95-2.97, 1 Pr 3.00, 2 Th 3.00
Se: 0.3337 0.4134 0.6674  3 Pm 2.97, 3 Pr 3.01-3.02